1.
Computed, not measured: an optimized crystal structure of MnMoSeI2 at the PBE-GGA level of DFT.

## Properties
formation energy from raw total energies: 0.568 eV per atom
SG: P4/mmm

abc: 5.727 4.791 5.727
angles: 90.00 90.00 90.00
Atoms (fractional coordinates):
1 Mo 0.000 0.000 0.000
2 Se 0.000 0.500 0.000
3 I 0.500 0.000 0.000
4 Mn 0.500 0.500 0.500
5 I 0.000 0.000 0.500

***

2.
Computed, not measured: an optimized crystal structure of MnTeMoI2 at the PBE-GGA level of DFT.

## Properties
polymorph energy (0 for the lowest one): 0.0 meV/atom
formation energy from raw total energies: 0.718 eV per atom
SG: P4/mmm

abc: 5.701 5.701 5.306
angles: 90.00 90.00 90.00
Atoms (fractional coordinates):
1 Te 0.000 0.000 0.500
2 Mn 0.500 0.500 0.500
3 I 0.000 0.500 0.000
4 I 0.500 0.000 0.000
5 Mo 0.000 0.000 0.000